[1]
Computed, not measured: a relaxed Ag2TeS crystal at the PBE level of DFT.

a = 6.038 Å, b = 6.038 Å, c = 11.884 Å
α = 90.00°, β = 90.00°, γ = 90.00°
Space group I-42d (No. 122)
Asymmetric unit:
Ag1 0.210 0.250 0.125
Te1 0.000 0.000 0.500
S1 0.000 0.000 0.000

Raw formation energy (eV per atom): 0.11
V (Å³/atom): 27.08
E_tot (eV per atom): -3.129

=====

[2]
Computed, not measured: a relaxed TlAg2Br2F crystal at the PBE level of DFT.

a = 8.029 Å, b = 5.973 Å, c = 8.078 Å
α = 90.00°, β = 111.62°, γ = 90.00°
Space group P2_1/m (No. 11)
Asymmetric unit:
Tl1 0.194 0.250 0.305
Ag1 0.307 0.000 0.807
Br1 0.066 0.250 0.870
Br2 0.368 0.750 0.567
F1 0.438 0.750 0.062

Raw formation energy (eV per atom): -0.70
V (Å³/atom): 30.01
E_tot (eV per atom): -2.916

=====

[3]
Computed, not measured: a relaxed LaAgSn crystal at the PBE level of DFT.

a = 4.498 Å, b = 4.511 Å, c = 8.982 Å
α = 104.50°, β = 104.45°, γ = 90.00°
Space group P1 (No. 1)
Asymmetric unit:
La1 0.000 0.000 0.000
La2 0.250 0.751 0.501
Ag1 0.670 0.171 0.341
Ag2 0.829 0.330 0.659
Sn1 0.415 0.415 0.831
Sn2 0.586 0.586 0.170

V (Å³/atom): 28.41
E_tot (eV per atom): -4.417

=====

[4]
Computed, not measured: a relaxed CuPtAu2 crystal at the PBE level of DFT.

a = 2.998 Å, b = 4.642 Å, c = 9.239 Å
α = 90.00°, β = 90.00°, γ = 90.00°
Space group Immm (No. 71)
Asymmetric unit:
Cu1 0.000 0.000 0.000
Pt1 0.000 0.000 0.500
Au1 0.000 0.500 0.264

V (Å³/atom): 16.07
E_tot (eV per atom): -4.144

=====

[5]
Computed, not measured: a relaxed LiMg2AgCl crystal at the PBE level of DFT.

a = 5.487 Å, b = 5.487 Å, c = 4.176 Å
α = 90.00°, β = 90.00°, γ = 90.00°
Space group P4/mmm (No. 123)
Asymmetric unit:
Li1 0.000 0.000 0.000
Mg1 0.000 0.500 0.000
Ag1 0.500 0.500 0.500
Cl1 0.000 0.000 0.500

Raw formation energy (eV per atom): 0.01
V (Å³/atom): 25.15
E_tot (eV per atom): -1.946

=====

[6]
Computed, not measured: a relaxed BaIn12Pd6 crystal at the PBE level of DFT.

a = 12.5614 Å, b = 12.5614 Å, c = 9.6091 Å
α = 90.00°, β = 90.00°, γ = 120.00°
Space group R-3m (No. 166, hexagonal axes)
Asymmetric unit:
Ba1 0.0000 0.0000 0.0000
In1 0.0000 0.3816 0.5000
In2 0.0865 0.1730 0.3314
Pd1 0.0467 0.5233 0.2531

V (Å³/atom): 23.04
E_tot (eV per atom): -3.870